Entry 1:
An optimized crystal structure of Li2AcLa2Sb2. Source: the Alexandria database, functional PBE.

```
Li2AcLa2Sb2
1.0
-0.6922 4.6290 1.1073
-1.4419 3.0937 -3.3886
-10.1555 0.6261 1.4795
Li Ac La Sb
2 1 2 2
direct
0.5876 0.5876 0.2371
0.4124 0.4124 0.7629
0.0000 0.0000 0.0000
0.1348 0.1348 0.5957
0.8652 0.8652 0.4043
0.7394 0.7394 0.7818
0.2606 0.2606 0.2182
```

The calculation puts the electronic total energy at -4.36 eV/atom. As for the symmetry: R-3m (166). Its formation energy (no corrections) is -62 kJ per mole of atoms.

Entry 2:
An optimized crystal structure of Li2AcLaSb2. Source: the Alexandria database, functional PBE.

```
Li2AcLaSb2
1.0
4.6871 0.0000 0.0000
-2.3436 4.0592 0.0000
0.0000 0.0000 8.6098
Li Ac La Sb
2 1 1 2
direct
0.3333 0.6667 0.7372
0.6667 0.3333 0.2628
0.0000 0.0000 0.0000
0.0000 0.0000 0.5000
0.3333 0.6667 0.2603
0.6667 0.3333 0.7397
```

The calculation puts the electronic total energy at -4.41 eV/atom. As for the symmetry: P-3m1 (164). Its formation energy (no corrections) is -86 kJ per mole of atoms.

Entry 3:
An optimized crystal structure of LiAcLaSc. Source: the Alexandria database, functional PBE.

```
LiAcLaSc
1.0
5.6554 0.0000 0.0000
2.8277 4.8977 0.0000
2.8277 1.6326 4.6176
Sc Ac Li La
1 1 1 1
direct
0.5000 0.5000 0.5000
0.7500 0.7500 0.7500
0.0000 0.0000 0.0000
0.2500 0.2500 0.2500
```

The calculation puts the electronic total energy at -4.19 eV/atom. As for the symmetry: F-43m (216). The value obtained for the formation energy is 0.128 eV/atom.

Entry 4:
An optimized crystal structure of LiAc2LaSe5. Source: the Alexandria database, functional PBE.

```
LiAc2LaSe5
1.0
-2.9997 3.0259 -0.9957
-3.7648 -4.5510 7.1263
5.6048 8.2679 8.2409
Li Ac La Se
2 4 2 10
direct
0.5124 0.0248 0.9837
0.4876 0.9752 0.4837
0.8785 0.7571 0.7999
0.1109 0.2219 0.6842
0.1215 0.2429 0.2999
0.8891 0.7781 0.1842
0.8044 0.6088 0.5005
0.1956 0.3912 0.0005
0.3631 0.7262 0.9996
0.6944 0.3887 0.8411
0.5030 0.0060 0.7866
0.2919 0.5838 0.6605
0.9571 0.9142 0.5680
0.6369 0.2738 0.4996
0.3056 0.6113 0.3411
0.4970 0.9940 0.2866
0.7081 0.4162 0.1605
0.0429 0.0858 0.0680
```

The calculation puts the electronic total energy at -5.50 eV/atom. As for the symmetry: Cmc2_1 (36). Its formation energy (no corrections) is -182 kJ per mole of atoms.

Entry 5:
An optimized crystal structure of LiAc3La2Se6. Source: the Alexandria database, functional PBE.

```
LiAc3La2Se6
1.0
-0.3924 7.2460 -2.1584
-6.1516 -3.5125 2.6715
3.8914 0.7936 6.4077
Li Ac La Se
1 3 2 6
direct
0.0000 0.0000 0.0000
0.1683 0.8317 0.5000
0.8317 0.1683 0.5000
0.5000 0.5000 0.5000
0.3345 0.6655 0.0000
0.6655 0.3345 0.0000
0.9229 0.6000 0.7671
0.7562 0.7562 0.2345
0.0771 0.4000 0.2329
0.6000 0.9229 0.7671
0.2438 0.2438 0.7655
0.4000 0.0771 0.2329
```

The calculation puts the electronic total energy at -5.59 eV/atom. As for the symmetry: C2/m (12). Its formation energy (no corrections) is -178 kJ per mole of atoms.

Entry 6:
An optimized crystal structure of LiAc3La4Se8. Source: the Alexandria database, functional PBE.

```
LiAc3La4Se8
1.0
-7.9089 -2.0449 -3.0029
3.5164 -6.2237 -5.0232
1.5271 0.0324 8.5687
Li Ac La Se
1 3 4 8
direct
0.0000 0.5000 0.0000
0.5000 0.5000 0.0000
0.5000 0.5000 0.5000
0.0000 0.5000 0.5000
0.5000 0.0000 0.0000
0.5000 0.0000 0.5000
0.0000 0.0000 0.0000
0.0000 0.0000 0.5000
0.2444 0.7509 0.0065
0.2445 0.7510 0.4891
0.2466 0.2399 0.4932
0.7621 0.7509 0.0065
0.2379 0.2491 0.9935
0.7534 0.7601 0.5068
0.7555 0.2490 0.5109
0.7556 0.2491 0.9935
```

The calculation puts the electronic total energy at -5.73 eV/atom. As for the symmetry: R-3m (166). Its formation energy (no corrections) is -180 kJ per mole of atoms.

Entry 7:
An optimized crystal structure of LiAcLa2Se4. Source: the Alexandria database, functional PBE.

```
LiAcLa2Se4
1.0
-1.5249 3.6720 1.7090
-3.4032 1.6180 -6.5131
-6.8595 -2.8607 0.0260
Li Ac La Se
1 1 2 4
direct
0.5000 0.5000 0.0000
0.0000 0.5000 0.5000
0.0000 0.0000 0.0000
0.5000 0.0000 0.5000
0.0000 0.7471 0.7592
0.0000 0.2529 0.2408
0.5000 0.7504 0.2376
0.5000 0.2496 0.7624
```

The calculation puts the electronic total energy at -5.55 eV/atom. As for the symmetry: P2/m (10). Its formation energy (no corrections) is -176 kJ per mole of atoms.

Entry 8:
An optimized crystal structure of LiAcLaSi. Source: the Alexandria database, functional PBE.

```
LiAcLaSi
1.0
5.3844 0.0000 0.0000
2.6922 4.6630 0.0000
2.6922 1.5543 4.3963
Ac Li Si La
1 1 1 1
direct
0.0000 0.0000 0.0000
0.2500 0.2500 0.2500
0.7500 0.7500 0.7500
0.5000 0.5000 0.5000
```

The calculation puts the electronic total energy at -4.35 eV/atom. As for the symmetry: F-43m (216). Its formation energy (no corrections) is -25 kJ per mole of atoms.

Record order is preserved below.
Theoretical density: 6382 6319 5424 6482 6798 6641 6019 6032 kg/m³